Record 1
Below is crystalline Tm6CdBi at its relaxed geometry, with properties calculated at the PBE-GGA level.

## Properties
The calculation puts the total energy at -0.15374 Ha/atom. The theoretical density is 9.6 g/cm³.

a b c (Å): 5.051 5.051 9.709
angles (deg): 74.92 74.92 90.00
Sites, in units of the cell vectors:
Bi  0.500  0.500  0.000
Tm  0.618  0.118  0.764
Tm  0.247  0.247  0.506
Tm  0.118  0.618  0.764
Tm  0.753  0.753  0.494
Tm  0.382  0.882  0.236
Tm  0.882  0.382  0.236
Cd  0.000  0.000  0.000

=====

Record 2
Below is crystalline Tm5CdBi2 at its relaxed geometry, with properties calculated at the PBE-GGA level.

## Properties
The calculation puts the total energy at -0.15062 Ha/atom. The theoretical density is 9.6 g/cm³.

a b c (Å): 5.441 6.379 15.115
angles (deg): 90.00 90.00 115.25
Sites, in units of the cell vectors:
Tm  0.381  0.762  0.448
Bi  0.217  0.433  0.881
Tm  0.929  0.859  0.595
Tm  0.071  0.141  0.095
Tm  0.381  0.762  0.052
Tm  0.619  0.238  0.552
Tm  0.619  0.238  0.948
Tm  0.929  0.859  0.905
Bi  0.217  0.433  0.619
Tm  0.438  0.875  0.750
Tm  0.562  0.125  0.250
Tm  0.071  0.141  0.405
Bi  0.783  0.567  0.381
Bi  0.783  0.567  0.119
Cd  0.731  0.461  0.750
Cd  0.269  0.539  0.250

=====

Record 3
Below is crystalline Tm4CdBi2 at its relaxed geometry, with properties calculated at the PBE-GGA level.

## Properties
The calculation puts the total energy at -0.15170 Ha/atom. The theoretical density is 9.8 g/cm³.

a b c (Å): 6.198 6.634 10.151
angles (deg): 90.00 102.21 90.00
Sites, in units of the cell vectors:
Tm  0.153  0.750  0.472
Tm  0.484  0.001  0.746
Tm  0.965  0.250  0.167
Bi  0.641  0.750  0.011
Tm  0.847  0.250  0.528
Tm  0.516  0.999  0.254
Bi  0.309  0.250  0.467
Tm  0.035  0.750  0.833
Cd  0.912  0.250  0.828
Tm  0.516  0.501  0.254
Cd  0.088  0.750  0.172
Bi  0.359  0.250  0.989
Tm  0.484  0.499  0.746
Bi  0.691  0.750  0.533